Entry 1:
Material: Li5InHg2
Method: DFT, PBE
State: relaxed

Cell: 4.817 4.817 7.177 Å, 109.61 109.61 90.00°
Atoms (fractional coordinates):
Li1 0.500 0.500 0.000
Li2 0.872 0.372 0.744
Li3 0.372 0.872 0.744
Li4 0.128 0.628 0.256
Li5 0.628 0.128 0.256
In1 0.000 0.000 0.000
Hg1 0.745 0.745 0.491
Hg2 0.255 0.255 0.509

energy relative to the elements: -240 kJ/mol of formula units
E_tot: -15.4 eV per formula unit
D(E_F): 2.973 states/eV per cell
spin magnetization: 0.00 μB/f.u.



Entry 2:
Material: Li5In5Hg2
Method: DFT, PBE
State: relaxed

Cell: 4.835 4.835 12.739 Å, 78.29 78.29 59.10°
Atoms (fractional coordinates):
Li1 0.853 0.853 0.435
Li2 0.398 0.398 0.812
Li3 0.602 0.602 0.188
Li4 0.147 0.147 0.565
Li5 0.000 0.000 0.000
In1 0.500 0.500 0.500
In2 0.308 0.308 0.071
In3 0.215 0.215 0.335
In4 0.785 0.785 0.665
In5 0.692 0.692 0.929
Hg1 0.077 0.077 0.783
Hg2 0.923 0.923 0.217

energy relative to the elements: -282 kJ/mol of formula units
E_tot: -26.8 eV per formula unit
D(E_F): 3.832 states/eV per cell
spin magnetization: 0.00 μB/f.u.



Entry 3:
Material: Li6InHg5
Method: DFT, PBE
State: relaxed

Cell: 4.756 8.218 8.218 Å, 120.21 107.25 107.25°
Atoms (fractional coordinates):
In1 0.000 0.000 0.000
Hg1 0.500 0.161 0.839
Hg2 0.000 0.333 0.667
Hg3 0.500 0.500 0.500
Hg4 0.000 0.667 0.333
Hg5 0.500 0.839 0.161
Li1 0.255 0.084 0.426
Li2 0.745 0.574 0.916
Li3 0.760 0.260 0.260
Li4 0.240 0.740 0.740
Li5 0.255 0.426 0.084
Li6 0.745 0.916 0.574

energy relative to the elements: -410 kJ/mol of formula units
E_tot: -20.0 eV per formula unit
D(E_F): 3.439 states/eV per cell
spin magnetization: 0.00 μB/f.u.



Entry 4:
Material: Li4InHg5
Method: DFT, PBE
State: relaxed

Cell: 3.349 3.349 17.827 Å, 90.00 90.00 90.00°
Atoms (fractional coordinates):
Li1 0.000 0.000 0.221
Li2 0.000 0.000 0.406
Li3 0.000 0.000 0.594
Li4 0.000 0.000 0.779
In1 0.000 0.000 0.000
Hg1 0.500 0.500 0.129
Hg2 0.500 0.500 0.316
Hg3 0.500 0.500 0.500
Hg4 0.500 0.500 0.684
Hg5 0.500 0.500 0.871

energy relative to the elements: -294 kJ/mol of formula units
E_tot: -14.9 eV per formula unit
D(E_F): 2.757 states/eV per cell
spin magnetization: 0.00 μB/f.u.



Entry 5:
Material: Li15InHg4
Method: DFT, PBE
State: relaxed

Cell: 4.347 4.347 18.916 Å, 90.00 90.00 90.00°
Atoms (fractional coordinates):
Li1 0.500 0.500 0.000
Li2 0.500 0.500 0.201
Li3 0.500 0.500 0.400
Li4 0.500 0.500 0.600
Li5 0.500 0.500 0.799
Li6 0.500 0.000 0.103
Li7 0.500 0.000 0.300
Li8 0.500 0.000 0.500
Li9 0.500 0.000 0.700
Li10 0.500 0.000 0.897
Li11 0.000 0.500 0.103
Li12 0.000 0.500 0.300
Li13 0.000 0.500 0.500
Li14 0.000 0.500 0.700
Li15 0.000 0.500 0.897
In1 0.000 0.000 0.000
Hg1 0.000 0.000 0.200
Hg2 0.000 0.000 0.400
Hg3 0.000 0.000 0.600
Hg4 0.000 0.000 0.800

energy relative to the elements: -499 kJ/mol of formula units
E_tot: -37.8 eV per formula unit
D(E_F): 3.859 states/eV per cell
spin magnetization: 0.00 μB/f.u.



Entry 6:
Material: Li4In3Hg8
Method: DFT, PBE
State: relaxed

Cell: 6.299 8.356 8.356 Å, 89.99 112.91 112.91°
Atoms (fractional coordinates):
Li1 0.500 0.000 0.000
Li2 0.000 0.500 0.000
Li3 0.000 0.000 0.000
Li4 0.000 0.000 0.500
In1 0.500 0.500 0.000
In2 0.500 0.000 0.500
In3 0.500 0.500 0.500
Hg1 0.479 0.233 0.233
Hg2 0.000 0.649 0.351
Hg3 0.975 0.236 0.236
Hg4 0.500 0.765 0.235
Hg5 0.500 0.235 0.765
Hg6 0.025 0.764 0.764
Hg7 0.000 0.351 0.649
Hg8 0.521 0.767 0.767

energy relative to the elements: -160 kJ/mol of formula units
E_tot: -19.9 eV per formula unit
D(E_F): 4.763 states/eV per cell
spin magnetization: 0.00 μB/f.u.



Question: The highest energy relative to the elements belongs to which entry?
Answer: Li4In3Hg8